This record from Alexandria describes an optimized crystal structure of NbCu2Te. The functional is PBE-GGA.

a b c (Å): 7.303 7.303 5.360
angles (deg): 90.00 90.00 90.00
Fractional positions:
Nb  0.000  0.000  0.000
Nb  0.000  0.500  0.250
Nb  0.500  0.000  0.750
Nb  0.500  0.500  0.500
Cu  0.244  0.250  0.625
Cu  0.250  0.744  0.875
Cu  0.250  0.756  0.375
Cu  0.256  0.250  0.125
Cu  0.744  0.750  0.125
Cu  0.750  0.244  0.375
Cu  0.750  0.256  0.875
Cu  0.756  0.750  0.625
Te  0.000  0.000  0.500
Te  0.000  0.500  0.750
Te  0.500  0.000  0.250
Te  0.500  0.500  0.000

Results
The energy comes out at -5.02 eV per atom. The calculation puts the uncorrected formation energy at 0.3324 eV/atom.


This record from Alexandria describes an optimized crystal structure of Nb3CuTe4. The functional is PBE-GGA.

a b c (Å): 7.519 9.485 5.621
angles (deg): 90.00 90.00 90.00
Fractional positions:
Nb  0.000  0.177  0.000
Nb  0.202  0.308  0.341
Nb  0.298  0.692  0.841
Nb  0.500  0.823  0.500
Nb  0.702  0.692  0.841
Nb  0.798  0.308  0.341
Cu  0.000  0.758  0.543
Cu  0.500  0.242  0.043
Te  0.000  0.072  0.464
Te  0.000  0.862  0.963
Te  0.242  0.389  0.856
Te  0.258  0.611  0.356
Te  0.500  0.138  0.463
Te  0.500  0.928  0.964
Te  0.742  0.611  0.356
Te  0.758  0.389  0.856

Results
The energy comes out at -5.89 eV per atom. The calculation puts the uncorrected formation energy at -0.0357 eV/atom.


This record from Alexandria describes an optimized crystal structure of NbTl3Cu2Te6. The functional is PBE-GGA.

a b c (Å): 7.203 7.203 8.006
angles (deg): 98.87 98.87 119.67
Fractional positions:
Nb  0.000  0.000  0.000
Tl  0.159  0.841  0.500
Tl  0.500  0.500  0.500
Tl  0.841  0.159  0.500
Cu  0.331  0.669  0.000
Cu  0.669  0.331  0.000
Te  0.060  0.398  0.193
Te  0.278  0.278  0.815
Te  0.398  0.060  0.193
Te  0.602  0.940  0.807
Te  0.722  0.722  0.185
Te  0.940  0.602  0.807

Results
The energy comes out at -3.81 eV per atom. The calculation puts the uncorrected formation energy at -0.1268 eV/atom.


This record from Alexandria describes an optimized crystal structure of Nb2Tl2CuTe6. The functional is PBE-GGA.

a b c (Å): 7.149 7.149 8.581
angles (deg): 98.80 98.80 125.01
Fractional positions:
Nb  0.192  0.808  0.000
Nb  0.808  0.192  0.000
Tl  0.352  0.648  0.500
Tl  0.648  0.352  0.500
Cu  0.500  0.500  0.000
Te  0.073  0.404  0.786
Te  0.238  0.238  0.165
Te  0.404  0.073  0.786
Te  0.596  0.927  0.214
Te  0.762  0.762  0.835
Te  0.927  0.596  0.214

Results
The energy comes out at -4.58 eV per atom. The calculation puts the uncorrected formation energy at -0.2290 eV/atom.


This record from Alexandria describes an optimized crystal structure of ThNbCu4. The functional is PBE-GGA.

a b c (Å): 5.131 5.131 5.131
angles (deg): 60.00 60.00 60.00
Fractional positions:
Th  0.000  0.000  0.000
Nb  0.250  0.250  0.250
Cu  0.130  0.623  0.623
Cu  0.623  0.130  0.623
Cu  0.623  0.623  0.130
Cu  0.623  0.623  0.623

Results
The formation energy from the elements comes out at 0.06 eV per atom. The energy comes out at -5.59 eV per atom.


This record from Alexandria describes an optimized crystal structure of Ti3NbCu. The functional is PBE-GGA.

a b c (Å): 4.558 4.558 4.558
angles (deg): 90.00 90.00 90.00
Fractional positions:
Ti  0.000  0.000  0.500
Ti  0.000  0.500  0.000
Ti  0.500  0.000  0.000
Nb  0.500  0.500  0.500
Cu  0.000  0.000  0.000

Results
The formation energy from the elements comes out at 0.77 eV per atom. The energy comes out at -6.80 eV per atom. Its energy above the lowest structure with this stoichiometry is 0.0 meV per atom.


This record from Alexandria describes an optimized crystal structure of Ti2Nb2Cu. The functional is PBE-GGA.

a b c (Å): 3.416 5.172 5.291
angles (deg): 80.93 71.25 70.76
Fractional positions:
Ti  0.094  0.208  0.102
Ti  0.906  0.792  0.898
Nb  0.294  0.608  0.305
Nb  0.706  0.392  0.695
Cu  0.500  0.000  0.500

Results
The formation energy from the elements comes out at 0.04 eV per atom. The energy comes out at -7.96 eV per atom. Its energy above the lowest structure with this stoichiometry is 0.0 meV per atom.


This record from Alexandria describes an optimized crystal structure of TiNb3Cu. The functional is PBE-GGA.

a b c (Å): 4.671 4.671 4.671
angles (deg): 90.00 90.00 90.00
Fractional positions:
Ti  0.000  0.000  0.000
Nb  0.000  0.500  0.500
Nb  0.500  0.000  0.500
Nb  0.500  0.500  0.000
Cu  0.500  0.500  0.500

Results
The formation energy from the elements comes out at 1.10 eV per atom. The energy comes out at -7.34 eV per atom. Its energy above the lowest structure with this stoichiometry is 0.0 meV per atom.